Material: HgRuS2Cl
Method: DFT, GGA-PBE
State: optimized geometry

Properties
Its distance to the lowest polymorph of the same formula is 1058 meV per atom.

```
data_HgRuS2Cl
_cell_length_a 4.975
_cell_length_b 4.975
_cell_length_c 5.194
_cell_angle_alpha 90.00
_cell_angle_beta 90.00
_cell_angle_gamma 90.00
_symmetry_space_group_name_H-M 'P 4/m m m'
_symmetry_Int_Tables_number 123
_symmetry_space_group_name_Hall '-P 4 2'
loop_
_atom_site_label
_atom_site_type_symbol
_atom_site_fract_x
_atom_site_fract_y
_atom_site_fract_z
_atom_site_occupancy
Hg1 Hg 0.000 0.000 0.000 1
Ru1 Ru 0.500 0.500 0.500 1
S1 S 0.000 0.500 0.000 1
Cl1 Cl 0.000 0.000 0.500 1
```

Material: Sm3HgRuCl
Method: DFT, GGA-PBE
State: optimized geometry

```
data_Sm3HgRuCl
_cell_length_a 7.968
_cell_length_b 4.459
_cell_length_c 9.432
_cell_angle_alpha 90.00
_cell_angle_beta 102.76
_cell_angle_gamma 90.00
_symmetry_space_group_name_H-M 'P 1 21/m 1'
_symmetry_Int_Tables_number 11
loop_
_symmetry_equiv_pos_as_xyz
'x,y,z'
'-x,-y,-z'
'-x,y+1/2,-z'
'x,-y+1/2,z'
loop_
_atom_site_label
_atom_site_type_symbol
_atom_site_fract_x
_atom_site_fract_y
_atom_site_fract_z
_atom_site_occupancy
Sm1 Sm 0.090 0.250 0.322 1
Sm2 Sm 0.208 0.250 0.929 1
Sm3 Sm 0.328 0.750 0.603 1
Hg1 Hg 0.327 0.750 0.245 1
Ru1 Ru 0.090 0.250 0.617 1
Cl1 Cl 0.411 0.750 0.902 1
```

Material: VHgRu2Cl
Method: DFT, GGA-PBE
State: optimized geometry

```
data_VHgRu2Cl
_cell_length_a 4.419
_cell_length_b 4.419
_cell_length_c 4.236
_cell_angle_alpha 90.00
_cell_angle_beta 90.00
_cell_angle_gamma 90.00
_symmetry_space_group_name_H-M 'P 4/m m m'
_symmetry_Int_Tables_number 123
_symmetry_space_group_name_Hall '-P 4 2'
loop_
_atom_site_label
_atom_site_type_symbol
_atom_site_fract_x
_atom_site_fract_y
_atom_site_fract_z
_atom_site_occupancy
V1 V 0.000 0.000 0.000 1
Hg1 Hg 0.500 0.500 0.000 1
Ru1 Ru 0.000 0.500 0.500 1
Cl1 Cl 0.000 0.000 0.500 1
```

Material: HgSCl3
Method: DFT, GGA-PBE
State: optimized geometry

Properties
Its distance to the lowest polymorph of the same formula is 606 meV per atom.

```
data_HgSCl3
_cell_length_a 5.255
_cell_length_b 5.255
_cell_length_c 5.255
_cell_angle_alpha 90.00
_cell_angle_beta 90.00
_cell_angle_gamma 90.00
_symmetry_space_group_name_H-M 'P m -3 m'
_symmetry_Int_Tables_number 221
_symmetry_space_group_name_Hall '-P 4 2 3'
loop_
_atom_site_label
_atom_site_type_symbol
_atom_site_fract_x
_atom_site_fract_y
_atom_site_fract_z
_atom_site_occupancy
Hg1 Hg 0.000 0.000 0.000 1
S1 S 0.500 0.500 0.500 1
Cl1 Cl 0.000 0.000 0.500 1
```

Material: Hg3S3Cl
Method: DFT, GGA-PBE
State: optimized geometry

```
data_Hg3S3Cl
_cell_length_a 7.1920
_cell_length_b 7.1920
_cell_length_c 26.6447
_cell_angle_alpha 90.00
_cell_angle_beta 90.00
_cell_angle_gamma 120.00
_symmetry_space_group_name_H-M 'R -3'
_symmetry_Int_Tables_number 148
_symmetry_space_group_name_Hall '-R 3'
loop_
_atom_site_label
_atom_site_type_symbol
_atom_site_fract_x
_atom_site_fract_y
_atom_site_fract_z
_atom_site_occupancy
Hg1 Hg 0.0030 0.6401 0.4184 1
S1 S 0.0026 0.6912 0.6076 1
Cl1 Cl 0.0000 0.0000 0.1677 1
```

Material: Hg3SCl4
Method: DFT, GGA-PBE
State: optimized geometry

```
data_Hg3SCl4
_cell_length_a 12.781
_cell_length_b 7.008
_cell_length_c 11.809
_cell_angle_alpha 90.00
_cell_angle_beta 117.46
_cell_angle_gamma 90.00
_symmetry_space_group_name_H-M 'C 1 c 1'
_symmetry_Int_Tables_number 9
loop_
_symmetry_equiv_pos_as_xyz
'x,y,z'
'x,-y,z+1/2'
'x+1/2,y+1/2,z'
'x+1/2,-y+1/2,z+1/2'
loop_
_atom_site_label
_atom_site_type_symbol
_atom_site_fract_x
_atom_site_fract_y
_atom_site_fract_z
_atom_site_occupancy
Hg1 Hg 0.000 0.002 0.000 1
Hg2 Hg 0.243 0.428 0.121 1
Hg3 Hg 0.320 0.025 0.796 1
S1 S 0.147 0.178 0.189 1
Cl1 Cl 0.021 0.373 0.446 1
Cl2 Cl 0.283 0.380 0.903 1
Cl3 Cl 0.312 0.246 0.598 1
Cl4 Cl 0.476 0.330 0.290 1
```

How do the records compare in total moment? In the order shown, they have 4.23 0.00 0.00 2.87 0.00 0.00 μB/cell.
How do the records compare in energy relative to the elements, uncorrected? In the order shown, they have 6.09 -3.74 3.96 1.60 0.17 -3.66 eV per formula unit.